The following is a PBE calculation of CaCeTl5 after structural relaxation, from the Alexandria database.

Output
Space-group type: P4/mmm, No. 123
Total energy, eV/atom: -2.9093
Density, g cm⁻³: 9.1
Size of the total moment, μB per atom: 0.134

Cell: 5.3188 5.3188 7.7732 Å, 90.00 90.00 90.00°
Last column: nearest neighbours and their distance in Å.
Positions (direct):
Ca 0.0000 0.0000 0.5000  8 Tl 3.35
Ce 0.5000 0.5000 0.0000  8 Tl 3.24
Tl 0.0000 0.5000 0.7622  2 Ce 3.24, 2 Ca 3.35, 2 Tl 3.35
Tl 0.0000 0.5000 0.2378  2 Ce 3.24, 2 Ca 3.35, 2 Tl 3.35
Tl 0.5000 0.0000 0.7622  2 Ce 3.24, 2 Tl 3.35, 2 Ca 3.35
Tl 0.5000 0.0000 0.2378  2 Ce 3.24, 2 Tl 3.35, 2 Ca 3.35
Tl 0.5000 0.5000 0.5000  8 Tl 3.35

The following is a PBE calculation of ErThCdPd after structural relaxation, from the Alexandria database.

Output
Space-group type: F-43m, No. 216
Total energy, eV/atom: -4.9191
Density, g cm⁻³: 10.3
Size of the total moment, μB per atom: 0.000

Cell: 5.1999 5.1999 5.1999 Å, 60.00 60.00 60.00°
Last column: nearest neighbours and their distance in Å.
Positions (direct):
Cd 0.7500 0.7500 0.7500  4 Er 3.18, 4 Th 3.18
Pd 0.2500 0.2500 0.2500  4 Th 3.18, 4 Er 3.18
Th 0.5000 0.5000 0.5000  4 Cd 3.18, 4 Pd 3.18
Er 0.0000 0.0000 0.0000  4 Cd 3.18, 4 Pd 3.18

The following is a PBE calculation of Ga2GeC after structural relaxation, from the Alexandria database.

Output
Space-group type: Fm-3m, No. 225
Total energy, eV/atom: -3.7175
Density, g cm⁻³: 6.0
Size of the total moment, μB per atom: 0.000

Cell: 4.4542 4.4542 4.4542 Å, 60.00 60.00 60.00°
Last column: nearest neighbours and their distance in Å.
Positions (direct):
Ge 0.5000 0.5000 0.5000  8 Ga 2.73
C 0.0000 0.0000 0.0000  8 Ga 2.73
Ga 0.2500 0.2500 0.2500  4 Ge 2.73, 4 C 2.73
Ga 0.7500 0.7500 0.7500  4 Ge 2.73, 4 C 2.73

The following is a PBE calculation of AlRhN2 after structural relaxation, from the Alexandria database.

Output
Space-group type: R-3m, No. 166
Total energy, eV/atom: -6.9009
Formation energy (no corrections), meV/atom: 35
Density, g cm⁻³: 6.0
Size of the total moment, μB per atom: 0.000

Cell: 6.2207 6.2207 6.2207 Å, 26.97 26.97 26.97°
Last column: nearest neighbours and their distance in Å.
Positions (direct):
Rh 0.0000 0.0000 0.0000  2 N 1.89
Al 0.5000 0.5000 0.5000  6 N 2.01
N 0.8947 0.8947 0.8947  1 Rh 1.89, 3 Al 2.01
N 0.1053 0.1053 0.1053  1 Rh 1.89, 3 Al 2.01

The following is a PBE calculation of SrCuSi2 after structural relaxation, from the Alexandria database.

Output
Space-group type: Immm, No. 71
Total energy, eV/atom: -4.2530
Formation energy (no corrections), meV/atom: -97
Density, g cm⁻³: 3.7
Size of the total moment, μB per atom: 0.000

Cell: 5.2077 5.2077 5.2077 Å, 133.30 105.06 93.12°
Last column: nearest neighbours and their distance in Å.
Positions (direct):
Cu 0.2500 0.7500 0.5000  4 Si 2.37
Si 0.0886 0.0886 0.0000  1 Si 2.31, 2 Cu 2.37
Si 0.4114 0.4114 0.0000  1 Si 2.31, 2 Cu 2.37
Sr 0.7500 0.2500 0.5000  8 Si 3.18-3.37

The following is a PBE calculation of Ce2HoPb after structural relaxation, from the Alexandria database.

Output
Space-group type: Fm-3m, No. 225
Total energy, eV/atom: -5.0750
Density, g cm⁻³: 9.1
Size of the total moment, μB per atom: 0.764

Cell: 5.5307 5.5307 5.5307 Å, 60.00 60.00 60.00°
Last column: nearest neighbours and their distance in Å.
Positions (direct):
Pb 0.5000 0.5000 0.5000  8 Ce 3.39
Ho 0.0000 0.0000 0.0000  8 Ce 3.39
Ce 0.2500 0.2500 0.2500  4 Ho 3.39, 4 Pb 3.39
Ce 0.7500 0.7500 0.7500  4 Pb 3.39, 4 Ho 3.39